ZnOs2Rh: optimized geometry, PBE.

a b c (Å): 4.8427 4.8427 4.8427
angles (deg): 134.54 134.54 66.25
Sites, in units of the cell vectors:
1 Zn 0.0000 0.0000 0.0000
2 Os 0.2500 0.7500 0.5000
3 Os 0.7500 0.2500 0.5000
4 Rh 0.5000 0.5000 0.0000

Calculated values
The space group is No. 139. For the formation energy, the calculation gives 229 meV/atom.

Cs2HoSe2O6: optimized geometry, PBE.

a b c (Å): 5.9656 5.9656 7.6095
angles (deg): 108.10 108.10 63.91
Sites, in units of the cell vectors:
1 Cs 0.2097 0.2097 0.1524
2 Cs 0.7903 0.7903 0.8476
3 Ho 0.0000 0.0000 0.5000
4 Se 0.4172 0.4172 0.7486
5 Se 0.5828 0.5828 0.2514
6 O 0.2414 0.2414 0.5894
7 O 0.2493 0.7475 0.7144
8 O 0.2525 0.7507 0.2856
9 O 0.7475 0.2493 0.7144
10 O 0.7507 0.2525 0.2856
11 O 0.7586 0.7586 0.4106

Calculated values
The space group is No. 12. Its uncorrected formation energy is -1.567 eV per atom.

La4CeDy8: optimized geometry, PBE.

a b c (Å): 7.8182 7.8182 7.8182
angles (deg): 90.24 90.24 90.24
Sites, in units of the cell vectors:
1 La 0.0000 0.0000 0.0000
2 La 0.0000 0.5000 0.5000
3 La 0.5000 0.0000 0.5000
4 La 0.5000 0.5000 0.0000
5 Ce 0.5000 0.5000 0.5000
6 Dy 0.2407 0.2407 0.7568
7 Dy 0.2407 0.7568 0.2407
8 Dy 0.2415 0.2415 0.2415
9 Dy 0.2432 0.7593 0.7593
10 Dy 0.7568 0.2407 0.2407
11 Dy 0.7585 0.7585 0.7585
12 Dy 0.7593 0.2432 0.7593
13 Dy 0.7593 0.7593 0.2432

Calculated values
The space group is No. 166. For the formation energy, the calculation gives 537 meV/atom.

NbGa2Re2: optimized geometry, PBE.

a b c (Å): 7.0676 7.0676 3.1027
angles (deg): 90.00 90.00 90.00
Sites, in units of the cell vectors:
1 Nb 0.0000 0.0000 0.0000
2 Nb 0.5000 0.5000 0.0000
3 Ga 0.1399 0.3601 0.0000
4 Ga 0.3601 0.8601 0.0000
5 Ga 0.6399 0.1399 0.0000
6 Ga 0.8601 0.6399 0.0000
7 Re 0.1553 0.6553 0.5000
8 Re 0.3447 0.1553 0.5000
9 Re 0.6553 0.8447 0.5000
10 Re 0.8447 0.3447 0.5000

Calculated values
The space group is No. 127. For the formation energy, the calculation gives 128 meV/atom.

Ac2PrNdS4: optimized geometry, PBE.

a b c (Å): 7.2763 4.1689 7.2983
angles (deg): 90.00 109.24 90.00
Sites, in units of the cell vectors:
1 Ac 0.0000 0.0000 0.0000
2 Ac 0.5000 0.5000 0.0000
3 Pr 0.0000 0.5000 0.5000
4 Nd 0.5000 0.0000 0.5000
5 S 0.2471 0.0000 0.7370
6 S 0.2564 0.5000 0.2641
7 S 0.7436 0.5000 0.7359
8 S 0.7529 0.0000 0.2630

Calculated values
The space group is No. 10. Its uncorrected formation energy is -2.010 eV per atom.

BaNdAg2S4: optimized geometry, PBE.

a b c (Å): 6.4720 6.4720 6.4720
angles (deg): 113.71 113.61 101.38
Sites, in units of the cell vectors:
1 Ba 0.0000 0.0000 0.0000
2 Nd 0.5000 0.5000 0.0000
3 Ag 0.2518 0.7518 0.5000
4 Ag 0.7482 0.2482 0.5000
5 S 0.0743 0.5108 0.0003
6 S 0.4895 0.4892 0.5635
7 S 0.5105 0.0740 0.9997
8 S 0.9257 0.9260 0.4365

Calculated values
The space group is No. 23. Its uncorrected formation energy is -1.111 eV per atom.

LiSb2W: optimized geometry, PBE.

a b c (Å): 7.4881 7.4881 7.4881
angles (deg): 128.15 128.15 76.39
Sites, in units of the cell vectors:
1 Li 0.0000 0.0000 0.0000
2 Li 0.7500 0.2500 0.5000
3 Sb 0.1557 0.6250 0.0307
4 Sb 0.3750 0.4057 0.5307
5 Sb 0.5943 0.1250 0.9693
6 Sb 0.8750 0.8443 0.4693
7 W 0.2500 0.7500 0.5000
8 W 0.5000 0.5000 0.0000

Calculated values
The space group is No. 122. Its uncorrected formation energy is 0.594 eV per atom.

Ta2TeRh: optimized geometry, PBE.

a b c (Å): 7.7943 7.7943 7.7943
angles (deg): 137.49 137.49 61.69
Sites, in units of the cell vectors:
1 Ta 0.0702 0.6250 0.9452
2 Ta 0.3750 0.3202 0.4452
3 Ta 0.6798 0.1250 0.0548
4 Ta 0.8750 0.9298 0.5548
5 Te 0.2500 0.7500 0.5000
6 Te 0.5000 0.5000 0.0000
7 Rh 0.0000 0.0000 0.0000
8 Rh 0.7500 0.2500 0.5000

Calculated values
The space group is No. 122. Its uncorrected formation energy is 0.755 eV per atom.

PrInRh: optimized geometry, PBE.

a b c (Å): 4.6720 4.6720 3.8390
angles (deg): 90.00 90.00 120.00
Sites, in units of the cell vectors:
1 Pr 0.0000 0.0000 0.0000
2 In 0.6667 0.3333 0.5000
3 Rh 0.3333 0.6667 0.5016

Calculated values
The space group is No. 156. For the formation energy, the calculation gives -499 meV/atom.

AlCdSe2: optimized geometry, PBE.

a b c (Å): 3.7379 3.8221 7.5544
angles (deg): 90.00 90.00 90.00
Sites, in units of the cell vectors:
1 Al 0.0000 0.0000 0.0000
2 Cd 0.0000 0.5000 0.5000
3 Se 0.5000 0.0000 0.5000
4 Se 0.5000 0.5000 0.0000

Calculated values
The space group is No. 47. Its uncorrected formation energy is -0.191 eV per atom.

KFePt2: optimized geometry, PBE.

a b c (Å): 4.0654 4.0654 7.8391
angles (deg): 94.09 94.09 39.60
Sites, in units of the cell vectors:
1 K 0.0000 0.0000 0.0000
2 Fe 0.5000 0.5000 0.5000
3 Pt 0.2388 0.2388 0.6749
4 Pt 0.7612 0.7612 0.3251

Calculated values
The space group is No. 12. For the formation energy, the calculation gives 137 meV/atom.

Cd2PtW: optimized geometry, PBE.

a b c (Å): 2.8033 4.3968 5.7928
angles (deg): 90.00 90.00 90.00
Sites, in units of the cell vectors:
1 Cd 0.0000 0.0000 0.2472
2 Cd 0.0000 0.0000 0.7528
3 Pt 0.5000 0.5000 0.0000
4 W 0.5000 0.5000 0.5000

Calculated values
The space group is No. 47. For the formation energy, the calculation gives 391 meV/atom.

| no. | electronic total energy (eV/atom) |
| --- | --- |
| 1 | -7.542 |
| 2 | -5.476 |
| 3 | -4.267 |
| 4 | -8.076 |
| 5 | -6.294 |
| 6 | -4.724 |
| 7 | -5.184 |
| 8 | -7.794 |
| 9 | -5.455 |
| 10 | -3.097 |
| 11 | -5.274 |
| 12 | -4.815 |